Entry from Alexandria: a geometry-optimized Ce4Co2Ge structure (PBE-GGA).

Results
Uncorrected energy, eV/atom: -6.398

a = 7.4153 Å, b = 7.4151 Å, c = 7.4209 Å
α = 105.95°, β = 105.95°, γ = 116.74°
Atoms (fractional coordinates):
Ce: 0.9984 0.2367 0.3928
Ce: 0.4057 0.5127 0.2616
Ce: 0.8439 0.6056 0.6072
Ce: 0.7631 0.1565 0.7621
Ce: 0.3944 0.0009 0.2379
Ce: 0.2512 0.1442 0.7385
Ce: 0.4871 0.7483 0.8924
Ce: 0.8559 0.5947 0.1076
Co: 0.4981 0.3748 0.6226
Co: 0.7522 0.8755 0.3774
Co: 0.6250 0.2479 0.1229
Co: 0.1250 0.5021 0.8771
Ge: 0.2501 0.7501 0.5000
Ge: 0.0000 0.0000 0.0000

---

Entry from Alexandria: a geometry-optimized Ce4CoGe2 structure (PBE-GGA).

Results
Uncorrected energy, eV/atom: -6.150

a = 4.7746 Å, b = 4.7746 Å, c = 8.7826 Å
α = 105.77°, β = 105.77°, γ = 90.00°
Last column: magnetic moment on the atom in μB.
Atoms (fractional coordinates):
Ce: 0.1812 0.1812 0.3623  0.86
Ce: 0.8188 0.8188 0.6377  0.86
Ce: 0.0000 0.5000 0.0000  0.07
Ce: 0.5000 0.0000 0.0000  0.07
Co: 0.0000 0.0000 0.0000  -0.03
Ge: 0.3662 0.3662 0.7324  -0.03
Ge: 0.6338 0.6338 0.2676  -0.03

---

Entry from Alexandria: a geometry-optimized CeCoGe2 structure (PBE-GGA).

Results
Uncorrected energy, eV/atom: -6.205

a = 4.1668 Å, b = 6.7697 Å, c = 10.4142 Å
α = 90.00°, β = 90.00°, γ = 90.00°
Atoms (fractional coordinates):
Ce: 0.7500 0.6852 0.6312
Ce: 0.2500 0.8148 0.1312
Ce: 0.2500 0.3148 0.3688
Ce: 0.7500 0.1852 0.8688
Co: 0.7500 0.9947 0.3628
Co: 0.2500 0.5053 0.8628
Co: 0.2500 0.0053 0.6372
Co: 0.7500 0.4947 0.1372
Ge: 0.7500 0.1511 0.5665
Ge: 0.2500 0.3489 0.0665
Ge: 0.2500 0.8489 0.4335
Ge: 0.7500 0.6511 0.9335
Ge: 0.7500 0.6427 0.3353
Ge: 0.2500 0.8573 0.8353
Ge: 0.2500 0.3573 0.6647
Ge: 0.7500 0.1427 0.1647

---

Entry from Alexandria: a geometry-optimized Ce4Co2Ge5 structure (PBE-GGA).

Results
Uncorrected energy, eV/atom: -6.124

a = 4.0771 Å, b = 7.0211 Å, c = 8.0862 Å
α = 89.95°, β = 90.00°, γ = 90.00°
Atoms (fractional coordinates):
Ce: 0.5000 0.7588 0.6068
Ce: 0.5000 0.2214 0.8572
Ce: 0.5000 0.2412 0.3932
Ce: 0.5000 0.7786 0.1428
Co: 0.0000 0.0846 0.6237
Co: 0.0000 0.9154 0.3763
Ge: 0.0000 0.5720 0.3515
Ge: 0.0000 0.1115 0.1295
Ge: 0.0000 0.5000 0.0000
Ge: 0.0000 0.8885 0.8705
Ge: 0.0000 0.4280 0.6485

---

Entry from Alexandria: a geometry-optimized Ce2Co2Ge structure (PBE-GGA).

Results
Uncorrected energy, eV/atom: -6.629

a = 4.3409 Å, b = 5.1650 Å, c = 5.1650 Å
α = 63.25°, β = 65.15°, γ = 65.15°
Atoms (fractional coordinates):
Ce: 0.7960 0.7040 0.7040
Ce: 0.2040 0.2960 0.2960
Co: 0.5000 0.2526 0.7474
Co: 0.5000 0.7474 0.2526
Ge: 0.0000 0.0000 0.0000

---

Entry from Alexandria: a geometry-optimized Ce2CoGe2 structure (PBE-GGA).

Results
Uncorrected energy, eV/atom: -6.190

a = 3.9351 Å, b = 5.2285 Å, c = 10.0194 Å
α = 90.00°, β = 90.00°, γ = 90.00°
Last column: magnetic moment on the atom in μB.
Atoms (fractional coordinates):
Ce: 0.0000 0.6198 0.1516  0.61
Ce: 0.0000 0.3802 0.8484  0.61
Ce: 0.0000 0.1198 0.3484  0.61
Ce: 0.0000 0.8802 0.6516  0.61
Co: 0.0000 0.0000 0.0000  -0.14
Co: 0.0000 0.5000 0.5000  -0.14
Ge: 0.5000 0.6719 0.3958  -0.03
Ge: 0.5000 0.3281 0.6042  -0.03
Ge: 0.5000 0.1719 0.1042  -0.03
Ge: 0.5000 0.8281 0.8958  -0.03

---

Entry from Alexandria: a geometry-optimized CeCo4Ge12 structure (PBE-GGA).

Results
Uncorrected energy, eV/atom: -5.424

a = 7.2542 Å, b = 7.2542 Å, c = 7.2542 Å
α = 109.47°, β = 109.47°, γ = 109.47°
Atoms (fractional coordinates):
Ce: 0.0000 0.0000 0.0000
Co: 0.0000 0.5000 0.0000
Co: 0.5000 0.0000 0.0000
Co: 0.5000 0.5000 0.5000
Co: 0.0000 0.0000 0.5000
Ge: 0.8358 0.3424 0.1782
Ge: 0.3424 0.5066 0.1642
Ge: 0.8218 0.1642 0.6576
Ge: 0.3424 0.1782 0.8358
Ge: 0.1782 0.8358 0.3424
Ge: 0.6576 0.4934 0.8358
Ge: 0.5066 0.1642 0.3424
Ge: 0.4934 0.8358 0.6576
Ge: 0.6576 0.8218 0.1642
Ge: 0.8358 0.6576 0.4934
Ge: 0.1642 0.3424 0.5066
Ge: 0.1642 0.6576 0.8218

---

Entry from Alexandria: a geometry-optimized Ce3Co6Ge2 structure (PBE-GGA).

Results
Uncorrected energy, eV/atom: -6.784

a = 7.6123 Å, b = 7.6123 Å, c = 7.6123 Å
α = 109.47°, β = 109.47°, γ = 109.47°
Atoms (fractional coordinates):
Ce: 0.7144 0.0000 0.7144
Ce: 0.2856 0.0000 0.2856
Ce: 0.0000 0.2856 0.2856
Ce: 0.0000 0.7144 0.7144
Ce: 0.2856 0.2856 0.0000
Ce: 0.7144 0.7144 0.0000
Co: 0.6493 0.2986 0.6493
Co: 0.6493 0.0000 0.3507
Co: 0.3507 0.0000 0.6493
Co: 0.3507 0.7014 0.3507
Co: 0.0000 0.6493 0.3507
Co: 0.7014 0.3507 0.3507
Co: 0.2986 0.6493 0.6493
Co: 0.0000 0.3507 0.6493
Co: 0.3507 0.6493 0.0000
Co: 0.6493 0.6493 0.2986
Co: 0.3507 0.3507 0.7014
Co: 0.6493 0.3507 0.0000
Ge: 0.0000 0.5000 0.0000
Ge: 0.5000 0.0000 0.0000
Ge: 0.0000 0.0000 0.5000
Ge: 0.5000 0.5000 0.5000

---

Entry from Alexandria: a geometry-optimized CeCo12Ge6 structure (PBE-GGA).

Results
Uncorrected energy, eV/atom: -6.332

a = 6.6907 Å, b = 6.6907 Å, c = 6.6907 Å
α = 105.52°, β = 105.52°, γ = 105.52°
Last column: magnetic moment on the atom in μB.
Atoms (fractional coordinates):
Ce: 0.0000 0.0000 0.0000  -0.81
Co: 0.8740 0.1260 0.5000  0.20
Co: 0.8190 0.5736 0.5736  1.05
Co: 0.5736 0.5736 0.8190  1.05
Co: 0.4264 0.1810 0.4264  1.05
Co: 0.4264 0.4264 0.1810  1.05
Co: 0.1810 0.4264 0.4264  1.05
Co: 0.1260 0.5000 0.8740  0.20
Co: 0.5000 0.8740 0.1260  0.20
Co: 0.1260 0.8740 0.5000  0.20
Co: 0.8740 0.5000 0.1260  0.20
Co: 0.5000 0.1260 0.8740  0.20
Co: 0.5736 0.8190 0.5736  1.05
Ge: 0.7004 0.2478 0.2478  -0.04
Ge: 0.2478 0.2478 0.7004  -0.04
Ge: 0.2478 0.7004 0.2478  -0.04
Ge: 0.7522 0.7522 0.2996  -0.04
Ge: 0.2996 0.7522 0.7522  -0.04
Ge: 0.7522 0.2996 0.7522  -0.04

---

Entry from Alexandria: a geometry-optimized Ce2Co3Ge2 structure (PBE-GGA).

Results
Uncorrected energy, eV/atom: -6.470

a = 6.8987 Å, b = 6.8987 Å, c = 6.8987 Å
α = 109.47°, β = 109.47°, γ = 109.47°
Atoms (fractional coordinates):
Ce: 0.0000 0.0000 0.4983
Ce: 0.5000 0.4983 0.5000
Ce: 0.5017 0.0017 0.0017
Ce: 0.9983 0.5000 0.0000
Co: 0.7856 0.7500 0.0356
Co: 0.7144 0.2500 0.4644
Co: 0.9644 0.2144 0.2500
Co: 0.5356 0.2856 0.7500
Co: 0.2500 0.0356 0.2856
Co: 0.7500 0.4644 0.2144
Ge: 0.0000 0.0000 0.9275
Ge: 0.5000 0.9275 0.5000
Ge: 0.0725 0.5725 0.5725
Ge: 0.4275 0.5000 0.0000

---

Entry from Alexandria: a geometry-optimized Ce3CoGe structure (PBE-GGA).

Results
Uncorrected energy, eV/atom: -6.312

a = 4.8814 Å, b = 6.6350 Å, c = 6.7330 Å
α = 90.04°, β = 90.00°, γ = 90.00°
Last column: magnetic moment on the atom in μB.
Atoms (fractional coordinates):
Ce: 0.2500 0.7970 0.5285  0.25
Ce: 0.2500 0.3273 0.7508  0.42
Ce: 0.2500 0.7970 0.9716  0.25
Ce: 0.7500 0.2030 0.4715  0.25
Ce: 0.7500 0.2030 0.0284  0.25
Ce: 0.7500 0.6727 0.2492  0.42
Co: 0.2500 0.0382 0.2498  -0.05
Co: 0.7500 0.9618 0.7502  -0.05
Ge: 0.7500 0.5950 0.7498  -0.01
Ge: 0.2500 0.4050 0.2502  -0.01

---

Entry from Alexandria: a geometry-optimized CeCo5Ge7 structure (PBE-GGA).

Results
Uncorrected energy, eV/atom: -5.890

a = 5.1911 Å, b = 6.5954 Å, c = 6.5954 Å
α = 86.43°, β = 66.83°, γ = 66.83°
Last column: magnetic moment on the atom in μB.
Atoms (fractional coordinates):
Ce: 0.0034 0.9966 0.9966  0.38
Co: 0.4959 0.0296 0.4732  0.07
Co: 0.0014 0.0296 0.4732  0.07
Co: 0.4959 0.4732 0.0296  0.07
Co: 0.0014 0.4732 0.0296  0.07
Co: 0.7528 0.7472 0.7472  0.31
Ge: 0.6437 0.3563 0.3563  0.00
Ge: 0.3410 0.6590 0.6590  0.01
Ge: 0.9778 0.3508 0.6935  0.00
Ge: 0.9778 0.6935 0.3508  0.00
Ge: 0.2658 0.2342 0.2342  0.00
Ge: 0.5216 0.7920 0.1648  0.00
Ge: 0.5216 0.1648 0.7920  0.00

---

Entry from Alexandria: a geometry-optimized CeCo3Ge2 structure (PBE-GGA).

Results
Uncorrected energy, eV/atom: -6.490

a = 3.8942 Å, b = 7.8281 Å, c = 7.0500 Å
α = 114.99°, β = 90.00°, γ = 104.40°
Last column: magnetic moment on the atom in μB.
Atoms (fractional coordinates):
Ce: 0.8493 0.6987 0.9285  -0.47
Ce: 0.1507 0.3013 0.0715  -0.47
Co: 0.3142 0.6285 0.5507  0.70
Co: 0.9652 0.9304 0.6202  0.81
Co: 0.5851 0.1702 0.6459  0.99
Co: 0.4149 0.8298 0.3541  0.99
Co: 0.0348 0.0696 0.3798  0.81
Co: 0.6858 0.3715 0.4493  0.70
Ge: 0.4773 0.9545 0.8068  -0.02
Ge: 0.5227 0.0455 0.1932  -0.02
Ge: 0.8105 0.6210 0.3245  -0.03
Ge: 0.1895 0.3790 0.6755  -0.03

---

Entry from Alexandria: a geometry-optimized Ce2CoGe structure (PBE-GGA).

Results
Uncorrected energy, eV/atom: -6.244

a = 4.1625 Å, b = 4.3848 Å, c = 4.3848 Å
α = 90.00°, β = 90.00°, γ = 90.00°
Last column: magnetic moment on the atom in μB.
Atoms (fractional coordinates):
Ge: 0.5000 0.5000 0.5000  0.01
Co: 0.5000 0.0000 0.0000  0.70
Ce: 0.0000 0.0000 0.5000  -0.14
Ce: 0.0000 0.5000 0.0000  -0.14

---

Entry from Alexandria: a geometry-optimized Ce2Co4Ge3 structure (PBE-GGA).

Results
Uncorrected energy, eV/atom: -6.514

a = 5.5739 Å, b = 6.6453 Å, c = 8.0236 Å
α = 90.00°, β = 110.32°, γ = 90.00°
Atoms (fractional coordinates):
Ce: 0.1050 0.5747 0.2100
Ce: 0.8950 0.4253 0.7900
Ce: 0.3950 0.0747 0.7900
Ce: 0.6050 0.9253 0.2100
Co: 0.6734 0.7500 0.8468
Co: 0.8266 0.2500 0.1532
Co: 0.3266 0.2500 0.1532
Co: 0.1734 0.7500 0.8468
Co: 0.1702 0.9835 0.3403
Co: 0.8298 0.0165 0.6597
Co: 0.3298 0.4835 0.6597
Co: 0.6702 0.5165 0.3403
Ge: 0.0000 0.0000 0.0000
Ge: 0.5000 0.5000 0.0000
Ge: 0.5130 0.7500 0.5259
Ge: 0.9870 0.2500 0.4741
Ge: 0.4870 0.2500 0.4741
Ge: 0.0130 0.7500 0.5259

---

Entry from Alexandria: a geometry-optimized Ce10CoGe6 structure (PBE-GGA).

Results
Uncorrected energy, eV/atom: -6.106

a = 6.2689 Å, b = 8.8859 Å, c = 8.8859 Å
α = 120.00°, β = 90.00°, γ = 90.00°
Last column: magnetic moment on the atom in μB.
Atoms (fractional coordinates):
Ce: 0.7407 0.7435 0.7435  0.76
Ce: 0.7407 0.0000 0.2565  0.76
Ce: 0.7407 0.2565 0.0000  0.76
Ce: 0.2593 0.2565 0.2565  0.76
Ce: 0.2593 0.0000 0.7435  0.76
Ce: 0.2593 0.7435 0.0000  0.76
Ce: 0.5000 0.3333 0.6667  0.93
Ce: 0.5000 0.6667 0.3333  0.93
Ce: 0.0000 0.6667 0.3333  0.87
Ce: 0.0000 0.3333 0.6667  0.87
Co: 0.5000 0.0000 0.0000  -0.26
Ge: 0.7539 0.3864 0.3864  -0.05
Ge: 0.7539 0.0000 0.6136  -0.05
Ge: 0.7539 0.6136 0.0000  -0.05
Ge: 0.2461 0.6136 0.6136  -0.05
Ge: 0.2461 0.0000 0.3864  -0.05
Ge: 0.2461 0.3864 0.0000  -0.05

---

Entry from Alexandria: a geometry-optimized Ce2CoGe structure (PBE-GGA).

Results
Uncorrected energy, eV/atom: -6.371

a = 3.8765 Å, b = 5.9581 Å, c = 8.0852 Å
α = 110.67°, β = 90.00°, γ = 90.00°
Last column: magnetic moment on the atom in μB.
Atoms (fractional coordinates):
Ce: 0.7500 0.2293 0.4481  0.23
Ce: 0.2500 0.7707 0.5519  0.23
Ce: 0.7500 0.6838 0.8955  0.18
Ce: 0.2500 0.3162 0.1045  0.18
Co: 0.7500 0.6376 0.2939  -0.07
Co: 0.2500 0.3624 0.7061  -0.07
Ge: 0.7500 0.1449 0.7961  0.00
Ge: 0.2500 0.8551 0.2039  0.00

---

Entry from Alexandria: a geometry-optimized Ce2Co2Ge structure (PBE-GGA).

Results
Uncorrected energy, eV/atom: -6.624

a = 5.1744 Å, b = 5.3654 Å, c = 7.8204 Å
α = 105.53°, β = 90.00°, γ = 118.83°
Atoms (fractional coordinates):
Ce: 0.4799 0.2930 0.1490
Ce: 0.1869 0.7070 0.3510
Ce: 0.5201 0.7070 0.8510
Ce: 0.8131 0.2930 0.6490
Co: 0.7378 0.7371 0.4900
Co: 0.0007 0.2629 0.0100
Co: 0.2622 0.2629 0.5100
Co: 0.9993 0.7371 0.9900
Ge: 0.8354 0.0000 0.2500
Ge: 0.1646 0.0000 0.7500

---

Entry from Alexandria: a geometry-optimized CeCo4GeH6 structure (PBE-GGA).

Results
Uncorrected energy, eV/atom: -5.121

a = 4.2387 Å, b = 4.2387 Å, c = 6.6315 Å
α = 90.00°, β = 90.00°, γ = 120.00°
Last column: magnetic moment on the atom in μB.
Atoms (fractional coordinates):
Ce: 0.0000 0.0000 0.5000  -0.38
Co: 0.6667 0.3333 0.1802  0.63
Co: 0.3333 0.6667 0.1802  0.63
Co: 0.3333 0.6667 0.8198  0.63
Co: 0.6667 0.3333 0.8198  0.63
Ge: 0.0000 0.0000 0.0000  -0.02
H: 0.5000 0.5000 0.3402  0.00
H: 0.5000 0.5000 0.6598  0.00
H: 0.5000 0.0000 0.3402  0.00
H: 0.0000 0.5000 0.3402  0.00
H: 0.5000 0.0000 0.6598  0.00
H: 0.0000 0.5000 0.6598  0.00

---

Entry from Alexandria: a geometry-optimized CeCo2GeH2 structure (PBE-GGA).

Results
Uncorrected energy, eV/atom: -5.523

a = 5.1995 Å, b = 4.4617 Å, c = 6.5280 Å
α = 100.19°, β = 90.00°, γ = 90.00°
Last column: magnetic moment on the atom in μB.
Atoms (fractional coordinates):
Ce: 0.7500 0.2578 0.6567  -0.25
Ce: 0.2500 0.7422 0.3433  -0.25
Co: 0.5186 0.2145 0.1873  0.04
Co: 0.9814 0.2145 0.1873  0.04
Co: 0.0186 0.7855 0.8127  0.04
Co: 0.4814 0.7855 0.8127  0.04
Ge: 0.2500 0.2831 0.9032  0.00
Ge: 0.7500 0.7169 0.0968  0.00
H: 0.2500 0.2393 0.3365  0.00
H: 0.2500 0.6163 0.6683  0.00
H: 0.7500 0.7607 0.6635  0.00
H: 0.7500 0.3837 0.3317  0.00